i.
Density functional theory data (PBE-GGA) for ThBiTe4 after structural relaxation.

Calculated values
total magnetic moment: 0.0 μB per formula unit

Cell lengths 5.393, 5.111, 7.841 Å; angles 90.00, 90.08, 90.00 degrees
Atoms (fractional coordinates):
Th: 0.000 0.000 0.000
Bi: 0.500 0.500 0.500
Te: 0.000 0.500 0.252
Te: 0.000 0.500 0.748
Te: 0.500 0.000 0.237
Te: 0.500 0.000 0.763

ii.
Density functional theory data (PBE-GGA) for ThBiTe4 after structural relaxation.

Calculated values
total magnetic moment: 0.0 μB per formula unit

Cell lengths 7.560, 7.621, 7.798 Å; angles 90.00, 94.14, 90.00 degrees
Atoms (fractional coordinates):
Th: 0.000 0.000 0.000
Th: 0.000 0.500 0.500
Bi: 0.500 0.000 0.500
Bi: 0.500 0.500 0.000
Te: 0.131 0.146 0.356
Te: 0.131 0.354 0.856
Te: 0.369 0.623 0.366
Te: 0.369 0.877 0.866
Te: 0.631 0.123 0.134
Te: 0.631 0.377 0.634
Te: 0.869 0.646 0.144
Te: 0.869 0.854 0.644

So which one wins? Going from most stable to least: i, ii.

i.
Density functional theory data (PBE-GGA) for Th5Bi4Te after structural relaxation.

Calculated values
total magnetic moment: 0.0 μB per formula unit

Cell lengths 3.924, 3.924, 19.650 Å; angles 90.00, 90.00, 90.00 degrees
Atoms (fractional coordinates):
Th: 0.000 0.000 0.000
Th: 0.000 0.000 0.202
Th: 0.000 0.000 0.401
Th: 0.000 0.000 0.599
Th: 0.000 0.000 0.798
Bi: 0.500 0.500 0.101
Bi: 0.500 0.500 0.303
Bi: 0.500 0.500 0.697
Bi: 0.500 0.500 0.899
Te: 0.500 0.500 0.500

ii.
Density functional theory data (PBE-GGA) for Th5Bi4Te after structural relaxation.

Calculated values
total magnetic moment: 0.0 μB per formula unit

Cell lengths 12.063, 12.063, 12.063 Å; angles 158.07, 148.92, 38.37 degrees
Atoms (fractional coordinates):
Th: 0.000 0.000 0.000
Th: 0.201 0.201 0.000
Th: 0.404 0.404 0.000
Th: 0.596 0.596 0.000
Th: 0.799 0.799 0.000
Bi: 0.101 0.601 0.500
Bi: 0.302 0.802 0.500
Bi: 0.698 0.198 0.500
Bi: 0.899 0.399 0.500
Te: 0.500 0.000 0.500

So which one wins? Going from most stable to least: i, ii.